PBE PuZr2Ti, relaxed; E above lowest polymorph = 12.6 meV per atom; energy relative to the elements = 0.161 eV/atom; space-group type = P4/mmm; density of states at the Fermi level = 7.565 states/eV per cell
1.0
-1.039 1.566 -2.645
-4.408 -2.669 0.151
-2.104 3.642 2.982
Ti Zr Pu
1 2 1
Direct
0.500 0.000 0.000
0.000 0.000 0.500
0.000 0.500 0.000
0.500 0.500 0.500

***

PBE PuZr2Ti, relaxed; E above lowest polymorph = 32.4 meV per atom; energy relative to the elements = 0.181 eV/atom; space-group type = Fm-3m; density of states at the Fermi level = 14.305 states/eV per cell
1.0
4.971 0.000 0.000
2.485 4.305 0.000
2.485 1.435 4.059
Ti Zr Pu
1 2 1
Direct
0.000 0.000 0.000
0.250 0.250 0.250
0.750 0.750 0.750
0.500 0.500 0.500

***

PBE PuZr4Ti, relaxed; energy relative to the elements = 0.076 eV/atom; space-group type = P2/c; density of states at the Fermi level = 19.222 states/eV per cell
1.0
-5.471 -0.207 6.134
1.603 -5.108 2.544
3.599 2.775 3.303
Pu Zr Ti
2 8 2
Direct
0.500 0.250 0.095
0.500 0.750 0.905
0.160 0.560 0.112
0.321 0.424 0.603
0.840 0.940 0.112
0.679 0.576 0.397
0.679 0.076 0.603
0.160 0.060 0.888
0.321 0.924 0.397
0.840 0.440 0.888
0.000 0.250 0.429
0.000 0.750 0.571

***

PBE PuTl2, relaxed; energy relative to the elements = 0.130 eV/atom; space-group type = Fd-3m; density of states at the Fermi level = 19.661 states/eV per cell
1.0
-4.261 1.978 -4.092
0.540 -1.490 -6.025
-3.967 -4.057 -2.573
Tl Pu
4 2
Direct
0.125 0.625 0.625
0.625 0.125 0.625
0.625 0.625 0.625
0.625 0.625 0.125
0.000 0.000 0.000
0.250 0.250 0.250

***

PBE Pu2Tl, relaxed; energy relative to the elements = 0.258 eV/atom; space-group type = Fd-3m; density of states at the Fermi level = 24.043 states/eV per cell
1.0
-5.149 3.073 -1.028
-3.274 -1.136 -5.000
-5.370 -2.823 0.457
Tl Pu
2 4
Direct
0.000 0.000 0.000
0.250 0.250 0.250
0.125 0.625 0.625
0.625 0.125 0.625
0.625 0.625 0.625
0.625 0.625 0.125

***

PBE PuTl2, relaxed; energy relative to the elements = 0.082 eV/atom; space-group type = C2/m; density of states at the Fermi level = 6.002 states/eV per cell
1.0
3.224 -0.008 -0.298
-0.008 3.224 -0.298
-2.448 -2.448 8.583
Tl Pu
2 1
Direct
0.311 0.311 0.314
0.689 0.689 0.686
0.500 0.500 0.000

***

PBE PuTl2, relaxed; energy relative to the elements = 0.035 eV/atom; space-group type = P6/mmm; density of states at the Fermi level = 9.802 states/eV per cell
1.0
-3.097 -0.886 0.857
-1.249 -0.640 -5.176
1.958 -4.123 2.816
Pu Tl
1 2
Direct
0.500 0.000 0.000
0.000 0.333 0.667
0.000 0.667 0.333

***

PBE Pu2Tl3, relaxed; E above lowest polymorph = 0.0 meV per atom; energy relative to the elements = 0.006 eV/atom; space-group type = I4/mmm; density of states at the Fermi level = 13.884 states/eV per cell
1.0
-2.237 -2.523 0.371
-0.403 -0.138 -3.366
10.154 -6.608 0.765
Pu Tl
2 3
Direct
0.901 0.901 0.803
0.099 0.099 0.197
0.700 0.700 0.400
0.300 0.300 0.600
0.500 0.500 0.000

***

PBE Pu5Tl, relaxed; energy relative to the elements = 0.168 eV/atom; space-group type = Cmmm; density of states at the Fermi level = 31.350 states/eV per cell
1.0
-4.501 0.521 1.752
-1.059 -3.941 -1.549
2.533 -0.930 6.784
Tl Pu
1 5
Direct
0.000 0.000 0.000
0.000 0.673 0.346
0.000 0.327 0.654
0.500 0.500 0.000
0.500 0.164 0.329
0.500 0.836 0.671

***

PBE Pu4Tl3, relaxed; energy relative to the elements = 0.124 eV/atom; space-group type = P6/mmm; density of states at the Fermi level = 32.442 states/eV per cell
1.0
-3.411 5.072 1.019
-1.244 -3.647 -4.853
-3.690 -3.146 3.310
Pu Tl
4 3
Direct
0.000 0.000 0.748
0.000 0.000 0.252
0.333 0.667 0.500
0.667 0.333 0.500
0.000 0.500 0.000
0.500 0.000 0.000
0.500 0.500 0.000

***

PBE PuTl, relaxed; energy relative to the elements = 0.299 eV/atom; space-group type = P2_1/m; density of states at the Fermi level = 7.045 states/eV per cell
1.0
-2.165 0.776 2.605
3.760 -1.510 3.574
0.496 5.467 -1.216
Tl Pu
2 2
Direct
0.250 0.090 0.777
0.750 0.910 0.223
0.250 0.473 0.359
0.750 0.527 0.641

***

PBE PuTl2, relaxed; energy relative to the elements = 0.319 eV/atom; space-group type = C2/m; density of states at the Fermi level = 13.315 states/eV per cell
1.0
-2.542 4.467 1.402
-0.536 -1.862 4.962
4.609 0.181 -2.294
Pu Tl
1 2
Direct
0.000 0.000 0.000
0.749 0.250 0.500
0.251 0.750 0.500

***

PBE Pu4Tl, relaxed; energy relative to the elements = 1.098 eV/atom; space-group type = Pm-3m; density of states at the Fermi level = 49.501 states/eV per cell
1.0
5.875 0.000 0.000
0.000 5.875 0.000
0.000 0.000 5.875
Tl Pu
1 4
Direct
0.500 0.500 0.500
0.000 0.000 0.000
0.500 0.000 0.500
0.000 0.500 0.500
0.500 0.500 0.000

***

PBE PuTl, relaxed; energy relative to the elements = -0.028 eV/atom; space-group type = P4/mmm; density of states at the Fermi level = 6.931 states/eV per cell
1.0
-2.578 -1.463 -1.473
2.074 -1.921 -1.722
-0.137 -3.321 3.539
Pu Tl
1 1
Direct
0.000 0.000 0.000
0.500 0.500 0.500

***

PBE Pu3Tl2, relaxed; energy relative to the elements = 0.193 eV/atom; space-group type = Cmc2_1; density of states at the Fermi level = 39.926 states/eV per cell
1.0
-1.547 5.287 0.270
-4.101 -3.357 -1.526
-2.421 -1.173 9.083
Pu Tl
6 4
Direct
0.465 0.535 0.569
0.034 0.966 0.069
0.863 0.654 0.734
0.637 0.846 0.234
0.346 0.137 0.734
0.154 0.363 0.234
0.834 0.166 0.547
0.149 0.851 0.415
0.666 0.334 0.047
0.351 0.649 0.915

***

PBE Pu2Tl3, relaxed; E above lowest polymorph = 456.0 meV per atom; energy relative to the elements = 0.462 eV/atom; space-group type = P4/m; density of states at the Fermi level = 18.494 states/eV per cell
1.0
5.310 0.000 0.000
0.000 6.862 0.000
0.000 0.000 6.862
Pu Tl
4 6
Direct
0.500 0.774 0.912
0.500 0.088 0.774
0.500 0.912 0.226
0.500 0.226 0.088
0.000 0.407 0.805
0.000 0.805 0.593
0.000 0.593 0.195
0.000 0.195 0.407
0.500 0.500 0.500
0.000 0.000 0.000

***

PBE PuTl7, relaxed; energy relative to the elements = -0.005 eV/atom; space-group type = Fm-3m; density of states at the Fermi level = 10.619 states/eV per cell
1.0
-0.317 6.872 -0.248
-0.454 3.208 -6.074
-5.865 3.112 -1.819
Pu Tl
1 7
Direct
0.000 0.000 0.000
0.500 0.500 0.000
0.500 0.000 0.500
0.000 0.500 0.500
0.500 0.000 0.000
0.000 0.500 0.000
0.000 0.000 0.500
0.500 0.500 0.500

***

PBE PuTl8, relaxed; energy relative to the elements = 0.044 eV/atom; space-group type = I4/mmm; density of states at the Fermi level = 18.804 states/eV per cell
1.0
0.022 -0.650 -7.716
5.910 -4.854 1.214
-7.682 0.674 0.708
Pu Tl
1 8
Direct
0.000 0.000 0.000
0.000 0.668 0.332
0.000 0.332 0.668
0.666 0.000 0.666
0.663 0.332 0.332
0.666 0.666 0.000
0.337 0.668 0.668
0.334 0.000 0.334
0.334 0.334 0.000

***

PBE Pu3Tl5, relaxed; energy relative to the elements = -0.001 eV/atom; space-group type = Cmmm; density of states at the Fermi level = 27.759 states/eV per cell
1.0
-1.951 -2.971 -3.146
5.456 -4.005 0.398
-2.854 -3.488 5.065
Pu Tl
3 5
Direct
0.000 0.500 0.500
0.500 0.748 0.252
0.500 0.252 0.748
0.000 0.000 0.000
0.000 0.000 0.500
0.000 0.500 0.000
0.500 0.253 0.253
0.500 0.747 0.747

***

PBE TmPuTl2, relaxed; E above lowest polymorph = 103.1 meV per atom; energy relative to the elements = -0.050 eV/atom; space-group type = R3m; density of states at the Fermi level = 10.248 states/eV per cell
1.0
3.543 0.000 0.000
1.771 3.068 0.000
1.771 1.023 10.417
Tm Pu Tl
1 1 2
Direct
0.667 0.667 0.999
0.500 0.500 0.501
0.081 0.081 0.757
0.252 0.252 0.243